# TlIn2Ni (PBE, optimized geometry)
data_TlIn2Ni
_chemical_formula_sum 'Tl1 In2 Ni1'
_symmetry_space_group_name_H-M 'P 1'
_symmetry_Int_Tables_number 1
_cell_length_a 4.942
_cell_length_b 4.942
_cell_length_c 6.850
_cell_angle_alpha 109.69
_cell_angle_beta 109.69
_cell_angle_gamma 37.76
loop_
_symmetry_equiv_pos_as_xyz
'x,y,z'
loop_
_atom_site_label
_atom_site_type_symbol
_atom_site_fract_x
_atom_site_fract_y
_atom_site_fract_z
_atom_site_occupancy
Tl1 Tl 0.000 0.000 0.000 1
In1 In 0.174 0.174 0.688 1
In2 In 0.352 0.352 0.354 1
Ni1 Ni 0.629 0.629 0.360 1
# Symmetry = Cm
# Crystal system = monoclinic
# Final energy = -3.352 eV per atom

# Tl3InNi (PBE, optimized geometry)
data_Tl3InNi
_chemical_formula_sum 'Tl3 In1 Ni1'
_symmetry_space_group_name_H-M 'P 1'
_symmetry_Int_Tables_number 1
_cell_length_a 5.159
_cell_length_b 5.159
_cell_length_c 5.159
_cell_angle_alpha 90.00
_cell_angle_beta 90.00
_cell_angle_gamma 90.00
loop_
_symmetry_equiv_pos_as_xyz
'x,y,z'
loop_
_atom_site_label
_atom_site_type_symbol
_atom_site_fract_x
_atom_site_fract_y
_atom_site_fract_z
_atom_site_occupancy
Tl1 Tl 0.000 0.000 0.500 1
Tl2 Tl 0.000 0.500 0.000 1
Tl3 Tl 0.500 0.000 0.000 1
In1 In 0.500 0.500 0.500 1
Ni1 Ni 0.000 0.000 0.000 1
# Symmetry = Pm-3m
# Crystal system = cubic
# Final energy = -2.979 eV per atom

# TlInNi (PBE, optimized geometry)
data_TlInNi
_chemical_formula_sum 'Tl1 In1 Ni1'
_symmetry_space_group_name_H-M 'P 1'
_symmetry_Int_Tables_number 1
_cell_length_a 4.489
_cell_length_b 4.489
_cell_length_c 4.489
_cell_angle_alpha 60.00
_cell_angle_beta 60.00
_cell_angle_gamma 60.00
loop_
_symmetry_equiv_pos_as_xyz
'x,y,z'
loop_
_atom_site_label
_atom_site_type_symbol
_atom_site_fract_x
_atom_site_fract_y
_atom_site_fract_z
_atom_site_occupancy
Tl1 Tl 0.000 0.000 0.000 1
In1 In 0.500 0.500 0.500 1
Ni1 Ni 0.250 0.250 0.250 1
# Symmetry = F-43m
# Crystal system = cubic
# Final energy = -3.545 eV per atom

# TlIn2Ni (PBE, optimized geometry)
data_TlIn2Ni
_chemical_formula_sum 'Tl1 In2 Ni1'
_symmetry_space_group_name_H-M 'P 1'
_symmetry_Int_Tables_number 1
_cell_length_a 7.344
_cell_length_b 7.344
_cell_length_c 7.344
_cell_angle_alpha 155.66
_cell_angle_beta 145.31
_cell_angle_gamma 42.83
loop_
_symmetry_equiv_pos_as_xyz
'x,y,z'
loop_
_atom_site_label
_atom_site_type_symbol
_atom_site_fract_x
_atom_site_fract_y
_atom_site_fract_z
_atom_site_occupancy
Tl1 Tl 0.000 0.000 0.000 1
In1 In 0.317 0.817 0.500 1
In2 In 0.644 0.644 0.000 1
Ni1 Ni 0.809 0.309 0.500 1
# Symmetry = Imm2
# Crystal system = orthorhombic
# Final energy = -3.364 eV per atom

# TlIn4Ni (PBE, optimized geometry)
data_TlIn4Ni
_chemical_formula_sum 'Tl1 In4 Ni1'
_symmetry_space_group_name_H-M 'P 1'
_symmetry_Int_Tables_number 1
_cell_length_a 6.079
_cell_length_b 6.079
_cell_length_c 6.079
_cell_angle_alpha 60.00
_cell_angle_beta 60.00
_cell_angle_gamma 60.00
loop_
_symmetry_equiv_pos_as_xyz
'x,y,z'
loop_
_atom_site_label
_atom_site_type_symbol
_atom_site_fract_x
_atom_site_fract_y
_atom_site_fract_z
_atom_site_occupancy
Tl1 Tl 0.000 0.000 0.000 1
In1 In 0.127 0.624 0.624 1
In2 In 0.624 0.127 0.624 1
In3 In 0.624 0.624 0.127 1
In4 In 0.624 0.624 0.624 1
Ni1 Ni 0.250 0.250 0.250 1
# Symmetry = F-43m
# Crystal system = cubic
# Final energy = -2.737 eV per atom

# TlIn2Ni (PBE, optimized geometry)
data_TlIn2Ni
_chemical_formula_sum 'Tl1 In2 Ni1'
_symmetry_space_group_name_H-M 'P 1'
_symmetry_Int_Tables_number 1
_cell_length_a 3.536
_cell_length_b 3.536
_cell_length_c 8.918
_cell_angle_alpha 100.77
_cell_angle_beta 100.77
_cell_angle_gamma 58.57
loop_
_symmetry_equiv_pos_as_xyz
'x,y,z'
loop_
_atom_site_label
_atom_site_type_symbol
_atom_site_fract_x
_atom_site_fract_y
_atom_site_fract_z
_atom_site_occupancy
Tl1 Tl 0.000 0.000 0.000 1
In1 In 0.230 0.230 0.693 1
In2 In 0.770 0.770 0.307 1
Ni1 Ni 0.500 0.500 0.500 1
# Symmetry = C2/m
# Crystal system = monoclinic
# Final energy = -3.327 eV per atom

# TlIn2Ni (PBE, optimized geometry)
data_TlIn2Ni
_chemical_formula_sum 'Tl1 In2 Ni1'
_symmetry_space_group_name_H-M 'P 1'
_symmetry_Int_Tables_number 1
_cell_length_a 3.206
_cell_length_b 3.206
_cell_length_c 8.769
_cell_angle_alpha 90.00
_cell_angle_beta 90.00
_cell_angle_gamma 90.00
loop_
_symmetry_equiv_pos_as_xyz
'x,y,z'
loop_
_atom_site_label
_atom_site_type_symbol
_atom_site_fract_x
_atom_site_fract_y
_atom_site_fract_z
_atom_site_occupancy
Tl1 Tl 0.000 0.000 0.000 1
In1 In 0.000 0.000 0.622 1
In2 In 0.500 0.500 0.322 1
Ni1 Ni 0.500 0.500 0.789 1
# Symmetry = P4mm
# Crystal system = tetragonal
# Final energy = -3.292 eV per atom

# TlIn2Ni (PBE, optimized geometry)
data_TlIn2Ni
_chemical_formula_sum 'Tl1 In2 Ni1'
_symmetry_space_group_name_H-M 'P 1'
_symmetry_Int_Tables_number 1
_cell_length_a 5.492
_cell_length_b 5.492
_cell_length_c 5.492
_cell_angle_alpha 132.54
_cell_angle_beta 132.54
_cell_angle_gamma 69.38
loop_
_symmetry_equiv_pos_as_xyz
'x,y,z'
loop_
_atom_site_label
_atom_site_type_symbol
_atom_site_fract_x
_atom_site_fract_y
_atom_site_fract_z
_atom_site_occupancy
Tl1 Tl 0.000 0.000 0.000 1
In1 In 0.250 0.750 0.500 1
In2 In 0.500 0.500 0.000 1
Ni1 Ni 0.750 0.250 0.500 1
# Symmetry = I-4m2
# Crystal system = tetragonal
# Final energy = -3.098 eV per atom

# TlIn2Ni (PBE, optimized geometry)
data_TlIn2Ni
_chemical_formula_sum 'Tl1 In2 Ni1'
_symmetry_space_group_name_H-M 'P 1'
_symmetry_Int_Tables_number 1
_cell_length_a 5.487
_cell_length_b 5.487
_cell_length_c 5.487
_cell_angle_alpha 132.58
_cell_angle_beta 132.58
_cell_angle_gamma 69.31
loop_
_symmetry_equiv_pos_as_xyz
'x,y,z'
loop_
_atom_site_label
_atom_site_type_symbol
_atom_site_fract_x
_atom_site_fract_y
_atom_site_fract_z
_atom_site_occupancy
Tl1 Tl 0.000 0.000 0.000 1
In1 In 0.250 0.750 0.500 1
In2 In 0.750 0.250 0.500 1
Ni1 Ni 0.500 0.500 0.000 1
# Symmetry = I4/mmm
# Crystal system = tetragonal
# Final energy = -3.104 eV per atom

# TlIn2Ni (PBE, optimized geometry)
data_TlIn2Ni
_chemical_formula_sum 'Tl1 In2 Ni1'
_symmetry_space_group_name_H-M 'P 1'
_symmetry_Int_Tables_number 1
_cell_length_a 4.403
_cell_length_b 4.403
_cell_length_c 4.584
_cell_angle_alpha 90.00
_cell_angle_beta 90.00
_cell_angle_gamma 90.00
loop_
_symmetry_equiv_pos_as_xyz
'x,y,z'
loop_
_atom_site_label
_atom_site_type_symbol
_atom_site_fract_x
_atom_site_fract_y
_atom_site_fract_z
_atom_site_occupancy
Tl1 Tl 0.000 0.000 0.000 1
In1 In 0.000 0.500 0.500 1
In2 In 0.500 0.000 0.500 1
Ni1 Ni 0.500 0.500 0.000 1
# Symmetry = P4/mmm
# Crystal system = tetragonal
# Final energy = -3.091 eV per atom

# TlInNi (PBE, optimized geometry)
data_TlInNi
_chemical_formula_sum 'Tl4 In4 Ni4'
_symmetry_space_group_name_H-M 'P 1'
_symmetry_Int_Tables_number 1
_cell_length_a 10.311
_cell_length_b 9.511
_cell_length_c 5.538
_cell_angle_alpha 81.92
_cell_angle_beta 65.95
_cell_angle_gamma 32.12
loop_
_symmetry_equiv_pos_as_xyz
'x,y,z'
loop_
_atom_site_label
_atom_site_type_symbol
_atom_site_fract_x
_atom_site_fract_y
_atom_site_fract_z
_atom_site_occupancy
Tl1 Tl 0.038 0.712 0.038 1
Tl2 Tl 0.288 0.962 0.288 1
Tl3 Tl 0.712 0.038 0.712 1
Tl4 Tl 0.962 0.288 0.962 1
In1 In 0.289 0.289 0.461 1
In2 In 0.461 0.461 0.289 1
In3 In 0.539 0.539 0.711 1
In4 In 0.711 0.711 0.539 1
Ni1 Ni 0.003 0.003 0.747 1
Ni2 Ni 0.253 0.253 0.997 1
Ni3 Ni 0.747 0.747 0.003 1
Ni4 Ni 0.997 0.997 0.253 1
# Symmetry = Fddd
# Crystal system = orthorhombic
# Final energy = -3.582 eV per atom

# TlIn2Ni (PBE, optimized geometry)
data_TlIn2Ni
_chemical_formula_sum 'Tl1 In2 Ni1'
_symmetry_space_group_name_H-M 'P 1'
_symmetry_Int_Tables_number 1
_cell_length_a 5.564
_cell_length_b 5.564
_cell_length_c 3.610
_cell_angle_alpha 102.74
_cell_angle_beta 102.74
_cell_angle_gamma 115.48
loop_
_symmetry_equiv_pos_as_xyz
'x,y,z'
loop_
_atom_site_label
_atom_site_type_symbol
_atom_site_fract_x
_atom_site_fract_y
_atom_site_fract_z
_atom_site_occupancy
Tl1 Tl 0.000 0.000 0.000 1
In1 In 0.000 0.500 0.500 1
In2 In 0.500 0.000 0.500 1
Ni1 Ni 0.500 0.500 0.000 1
# Symmetry = C2/m
# Crystal system = monoclinic
# Final energy = -3.049 eV per atom

Question: Number 4 is which compound?
Answer: TlIn2Ni